[1]
Here is crystalline SrAs2Pd7Pb2 at its relaxed geometry from Alexandria via LeMat-Bulk. Energies are from PBE.

The structure in POSCAR format:
```
SrAs2Pd7Pb2
1.0
-3.453 1.778 2.530
1.268 -1.662 4.138
6.428 9.725 1.937
Pb As Pd Sr
2 2 7 1
Direct
0.161 0.161 0.601
0.839 0.839 0.399
0.349 0.349 0.181
0.651 0.651 0.819
0.342 0.853 0.254
0.629 0.629 0.596
0.500 0.500 0.000
0.147 0.658 0.746
0.371 0.371 0.404
0.658 0.147 0.746
0.853 0.342 0.254
0.000 0.000 0.000
```

Summary:
The calculated formation energy is -0.401 eV per atom.

[2]
Here is crystalline Li5Ce3I12 at its relaxed geometry from Alexandria via LeMat-Bulk. Energies are from PBE.

The structure in POSCAR format:
```
Li5Ce3I12
1.0
-2.687 -14.998 -2.766
9.877 1.375 11.849
-13.320 7.064 3.536
Li Ce I
20 12 48
Direct
0.500 0.500 0.000
0.500 0.500 0.500
0.625 0.875 0.250
0.125 0.375 0.250
0.375 0.250 0.125
0.875 0.250 0.625
0.250 0.375 0.625
0.125 0.750 0.375
0.000 0.000 0.000
0.000 0.000 0.500
0.000 0.500 0.000
0.250 0.875 0.125
0.000 0.500 0.500
0.750 0.625 0.375
0.500 0.000 0.000
0.625 0.750 0.875
0.875 0.625 0.750
0.750 0.125 0.875
0.500 0.000 0.500
0.375 0.125 0.750
0.250 0.125 0.375
0.625 0.250 0.375
0.125 0.250 0.875
0.875 0.750 0.125
0.625 0.375 0.750
0.125 0.875 0.750
0.375 0.750 0.625
0.750 0.875 0.625
0.250 0.625 0.875
0.875 0.125 0.250
0.750 0.375 0.125
0.375 0.625 0.250
0.377 0.410 0.091
0.123 0.714 0.534
0.590 0.966 0.680
0.910 0.091 0.877
0.034 0.623 0.714
0.409 0.286 0.320
0.910 0.820 0.534
0.180 0.090 0.966
0.623 0.590 0.909
0.714 0.591 0.180
0.286 0.877 0.966
0.091 0.910 0.377
0.909 0.820 0.786
0.591 0.877 0.410
0.877 0.286 0.466
0.680 0.466 0.590
0.214 0.680 0.091
0.820 0.909 0.286
0.680 0.214 0.591
0.966 0.377 0.286
0.820 0.910 0.034
0.966 0.590 0.180
0.534 0.214 0.123
0.534 0.320 0.910
0.320 0.534 0.410
0.877 0.591 0.910
0.786 0.320 0.909
0.034 0.410 0.820
0.410 0.034 0.320
0.214 0.534 0.623
0.320 0.786 0.409
0.466 0.680 0.090
0.786 0.466 0.377
0.591 0.714 0.680
0.909 0.090 0.623
0.180 0.091 0.714
0.090 0.180 0.466
0.623 0.034 0.214
0.377 0.966 0.786
0.466 0.786 0.877
0.410 0.377 0.591
0.090 0.909 0.123
0.123 0.409 0.090
0.590 0.623 0.409
0.091 0.180 0.214
0.714 0.123 0.034
0.409 0.123 0.590
0.286 0.409 0.820
```

Summary:
Its uncorrected formation energy is -1.179 eV per atom.

[3]
Here is crystalline KMgBi3 at its relaxed geometry from Alexandria via LeMat-Bulk. Energies are from PBE.

The structure in POSCAR format:
```
KMgBi3
1.0
5.679 0.000 0.000
0.000 5.679 0.000
0.000 0.000 5.679
Mg K Bi
1 1 3
Direct
0.000 0.000 0.000
0.500 0.500 0.500
0.500 0.000 0.000
0.000 0.500 0.000
0.000 0.000 0.500
```

Summary:
The calculated formation energy is 0.079 eV per atom. As for the energy above the most stable polymorph in this dataset: 0.000 eV per formula unit.

[4]
Here is crystalline SnAuS at its relaxed geometry from Alexandria via LeMat-Bulk. Energies are from PBE.

The structure in POSCAR format:
```
SnAuS
1.0
-0.535 -3.424 1.694
-1.068 0.524 -3.669
4.563 -1.474 -1.539
Sn S Au
1 1 1
Direct
0.667 0.333 0.333
0.333 0.667 0.673
0.000 0.000 0.994
```

Summary:
Its uncorrected formation energy is -0.171 eV per atom.

[5]
Here is crystalline K2BiSb at its relaxed geometry from Alexandria via LeMat-Bulk. Energies are from PBE.

The structure in POSCAR format:
```
K2BiSb
1.0
4.544 0.002 0.000
2.268 6.408 0.404
2.270 2.636 5.854
K Bi Sb
2 1 1
Direct
0.468 0.466 0.597
0.032 0.903 0.034
0.750 0.916 0.584
0.250 0.216 0.284
```

Summary:
As for the energy above the most stable polymorph in this dataset: 0.000 eV per formula unit. Its uncorrected formation energy is -0.325 eV per atom.

[6]
Here is crystalline CeSm3Pd12 at its relaxed geometry from Alexandria via LeMat-Bulk. Energies are from PBE.

The structure in POSCAR format:
```
CeSm3Pd12
1.0
4.165 0.000 0.000
0.000 4.165 0.000
0.000 0.000 16.649
Pd Sm Ce
12 3 1
Direct
0.500 0.000 0.626
0.500 0.000 0.374
0.500 0.500 0.248
0.500 0.000 0.879
0.500 0.000 0.121
0.000 0.500 0.121
0.000 0.500 0.374
0.500 0.500 0.500
0.500 0.500 0.000
0.000 0.500 0.879
0.000 0.500 0.626
0.500 0.500 0.752
0.000 0.000 0.749
0.000 0.000 0.251
0.000 0.000 0.500
0.000 0.000 0.000
```

Summary:
The calculated formation energy is -0.828 eV per atom.

[7]
Here is crystalline Sr2AlSe at its relaxed geometry from Alexandria via LeMat-Bulk. Energies are from PBE.

The structure in POSCAR format:
```
Sr2AlSe
1.0
6.994 -0.002 0.000
4.043 5.707 0.000
-5.518 -2.853 3.213
Sr Al Se
2 1 1
Direct
0.000 0.000 0.000
0.250 0.750 0.500
0.500 0.500 0.000
0.750 0.250 0.500
```

Summary:
As for the energy above the most stable polymorph in this dataset: 1.014 eV per formula unit. Its uncorrected formation energy is -0.616 eV per atom.

[8]
Here is crystalline TbHoCo2 at its relaxed geometry from Alexandria via LeMat-Bulk. Energies are from PBE.

The structure in POSCAR format:
```
TbHoCo2
1.0
3.857 0.000 0.000
0.000 5.536 0.000
0.000 0.000 7.480
Co Tb Ho
4 2 2
Direct
0.000 0.653 0.527
0.500 0.853 0.472
0.000 0.347 0.027
0.500 0.147 0.972
0.500 0.367 0.323
0.500 0.633 0.823
0.000 0.867 0.178
0.000 0.133 0.678
```

Summary:
The calculated formation energy is -0.206 eV per atom. As for the energy above the most stable polymorph in this dataset: 0.000 eV per formula unit.

[9]
Here is crystalline Co2IrPb at its relaxed geometry from Alexandria via LeMat-Bulk. Energies are from PBE.

The structure in POSCAR format:
```
Co2IrPb
1.0
-0.298 3.517 -1.298
-1.308 -1.401 -3.495
-3.752 0.175 1.334
Co Ir Pb
2 1 1
Direct
0.000 0.500 0.500
0.000 0.000 0.000
0.500 0.500 0.000
0.500 0.000 0.500
```

Summary:
The calculated formation energy is 0.453 eV per atom.

[10]
Here is crystalline Na4CaAu2 at its relaxed geometry from Alexandria via LeMat-Bulk. Energies are from PBE.

The structure in POSCAR format:
```
Na4CaAu2
1.0
-1.256 -4.176 -0.656
2.291 -1.248 3.554
-9.163 2.140 3.924
Ca Au Na
1 2 4
Direct
0.000 0.000 0.000
0.500 0.432 0.864
0.500 0.568 0.136
0.000 0.670 0.339
0.500 0.830 0.659
0.500 0.170 0.341
0.000 0.330 0.661
```

Summary:
The calculated formation energy is -0.258 eV per atom.

[11]
Here is crystalline NaAl2WI at its relaxed geometry from Alexandria via LeMat-Bulk. Energies are from PBE.

The structure in POSCAR format:
```
NaAl2WI
1.0
5.642 0.000 0.000
0.000 5.291 0.000
0.000 0.000 5.642
W Al I Na
1 2 1 1
Direct
0.500 0.500 0.500
0.500 0.000 0.000
0.000 0.000 0.500
0.000 0.000 0.000
0.000 0.500 0.000
```

Summary:
Its uncorrected formation energy is 1.768 eV per atom.

[12]
Here is crystalline HSeBr2 at its relaxed geometry from Alexandria via LeMat-Bulk. Energies are from PBE.

The structure in POSCAR format:
```
HSeBr2
1.0
6.494 0.000 0.000
0.000 6.494 0.000
3.247 3.247 4.092
Br H Se
4 2 2
Direct
0.875 0.791 0.750
0.209 0.625 0.250
0.541 0.125 0.250
0.375 0.459 0.750
0.250 0.750 0.500
0.500 0.500 0.000
0.000 0.000 0.000
0.750 0.250 0.500
```

Summary:
As for the energy above the most stable polymorph in this dataset: 3.370 eV per formula unit.

[13]
Here is crystalline HfTc2AgRh at its relaxed geometry from Alexandria via LeMat-Bulk. Energies are from PBE.

The structure in POSCAR format:
```
HfTc2AgRh
1.0
-2.918 -1.320 -3.368
3.156 -3.043 -1.542
-1.894 -3.489 3.008
Tc Rh Ag Hf
2 1 1 1
Direct
0.000 0.500 0.000
0.500 0.000 0.000
0.500 0.500 0.500
0.000 0.000 0.500
0.000 0.000 0.000
```

Summary:
The calculated formation energy is 1.862 eV per atom.

[14]
Here is crystalline PtSeI3 at its relaxed geometry from Alexandria via LeMat-Bulk. Energies are from PBE.

The structure in POSCAR format:
```
PtSeI3
1.0
-3.430 2.963 -3.003
-1.401 -4.450 -2.791
-3.979 -0.987 3.571
I Pt Se
3 1 1
Direct
0.500 0.000 0.000
0.000 0.000 0.500
0.000 0.500 0.000
0.000 0.000 0.000
0.500 0.500 0.500
```

Summary:
As for the energy above the most stable polymorph in this dataset: 0.000 eV per formula unit. Its uncorrected formation energy is 0.465 eV per atom.

[15]
Here is crystalline Nd3InHg4 at its relaxed geometry from Alexandria via LeMat-Bulk. Energies are from PBE.

The structure in POSCAR format:
```
Nd3InHg4
1.0
3.815 0.000 0.000
0.000 9.354 0.000
-1.907 -4.677 6.565
Hg Nd In
4 3 1
Direct
0.373 0.143 0.746
0.373 0.603 0.746
0.627 0.397 0.254
0.627 0.857 0.254
0.000 0.500 0.000
0.797 0.797 0.594
0.203 0.203 0.406
0.500 0.000 0.000
```

Summary:
The calculated formation energy is -0.338 eV per atom. As for the energy above the most stable polymorph in this dataset: 0.826 eV per formula unit.

[16]
Here is crystalline U2NbCo at its relaxed geometry from Alexandria via LeMat-Bulk. Energies are from PBE.

The structure in POSCAR format:
```
U2NbCo
1.0
-0.568 3.866 -2.463
-3.759 0.532 -2.630
-3.414 3.194 1.470
U Nb Co
2 1 1
Direct
0.257 0.257 0.228
0.743 0.743 0.772
0.500 0.500 0.500
0.000 0.000 0.000
```

Summary:
The calculated formation energy is 0.378 eV per atom.

[17]
Here is crystalline ZrNb2GaH at its relaxed geometry from Alexandria via LeMat-Bulk. Energies are from PBE.

The structure in POSCAR format:
```
ZrNb2GaH
1.0
4.067 0.000 0.000
0.000 4.067 0.000
0.000 0.000 4.627
Nb H Ga Zr
2 1 1 1
Direct
0.500 0.000 0.000
0.000 0.500 0.000
0.000 0.000 0.000
0.500 0.500 0.500
0.000 0.000 0.500
```

Summary:
As for the total DFT energy (no corrections): -36.487 eV for the cell shown.

[18]
Here is crystalline Y2HfW2 at its relaxed geometry from Alexandria via LeMat-Bulk. Energies are from PBE.

The structure in POSCAR format:
```
Y2HfW2
1.0
-3.531 1.927 -1.198
-0.431 -2.745 -3.146
-5.534 -4.433 1.826
Y Hf W
2 1 2
Direct
0.750 0.250 0.500
0.250 0.750 0.500
0.000 0.000 0.000
0.414 0.414 0.171
0.586 0.586 0.829
```

Summary:
The calculated formation energy is 0.869 eV per atom. As for the energy above the most stable polymorph in this dataset: 1.966 eV per formula unit.

[19]
Here is crystalline Li2NdCdHg4 at its relaxed geometry from Alexandria via LeMat-Bulk. Energies are from PBE.

The structure in POSCAR format:
```
Li2NdCdHg4
1.0
-1.115 -3.125 -3.435
3.461 -2.335 -2.319
0.419 -8.610 4.378
Hg Nd Li Cd
4 1 2 1
Direct
0.390 0.390 0.831
0.880 0.880 0.359
0.610 0.610 0.169
0.120 0.120 0.641
0.000 0.000 0.000
0.233 0.233 0.302
0.767 0.767 0.698
0.500 0.500 0.500
```

Summary:
The calculated formation energy is -0.323 eV per atom.

[20]
Here is crystalline NaYB2Se at its relaxed geometry from Alexandria via LeMat-Bulk. Energies are from PBE.

The structure in POSCAR format:
```
NaYB2Se
1.0
-2.221 3.864 2.050
0.011 -2.557 4.831
4.374 1.967 1.031
Y Na B Se
1 1 2 1
Direct
0.000 0.000 0.000
0.500 0.500 0.500
0.000 0.000 0.500
0.500 0.000 0.000
0.000 0.500 0.000
```

Summary:
Its uncorrected formation energy is 0.911 eV per atom.

[21]
Here is crystalline MgZr2GeC at its relaxed geometry from Alexandria via LeMat-Bulk. Energies are from PBE.

The structure in POSCAR format:
```
MgZr2GeC
1.0
4.538 0.000 0.000
0.000 4.446 0.000
0.000 0.000 4.538
C Mg Zr Ge
1 1 2 1
Direct
0.000 0.000 0.000
0.500 0.500 0.500
0.000 0.000 0.500
0.500 0.000 0.000
0.000 0.500 0.000
```

Summary:
The calculated formation energy is 0.035 eV per atom.

[22]
Here is crystalline HoErTh2 at its relaxed geometry from Alexandria via LeMat-Bulk. Energies are from PBE.

The structure in POSCAR format:
```
HoErTh2
1.0
4.995 0.000 -0.607
0.000 5.041 0.000
-3.780 0.000 10.545
Ho Th Er
2 4 2
Direct
0.873 0.750 0.373
0.127 0.250 0.627
0.876 0.250 0.876
0.625 0.250 0.124
0.375 0.750 0.876
0.124 0.750 0.124
0.373 0.250 0.373
0.627 0.750 0.627
```

Summary:
The calculated formation energy is 0.031 eV per atom. As for the energy above the most stable polymorph in this dataset: 0.002 eV per formula unit.

[23]
Here is crystalline PdI3Cl at its relaxed geometry from Alexandria via LeMat-Bulk. Energies are from PBE.

The structure in POSCAR format:
```
PdI3Cl
1.0
-1.819 -2.643 4.419
4.441 -3.177 -0.072
2.605 3.570 3.208
I Cl Pd
3 1 1
Direct
0.500 0.000 0.000
0.000 0.500 0.000
0.000 0.000 0.500
0.500 0.500 0.500
0.000 0.000 0.000
```

Summary:
As for the energy above the most stable polymorph in this dataset: 1.703 eV per formula unit. Its uncorrected formation energy is 0.183 eV per atom.

no.,D(E_F) (states/eV per cell)
1,5.81
2,111.10
3,3.14
4,1.46
5,0.96
6,6.12
7,2.83
8,8.66
9,7.64
10,3.08
11,2.92
12,7.59
13,5.61
14,5.64
15,5.51
16,10.13
17,2.80
18,4.86
19,3.64
20,3.40
21,3.81
22,13.84
23,7.66